# 1
FeHgPbW2, optimized geometry, DFT PBE-GGA; magnetic moment = 5.0 μB/f.u.; VASP energy = -5.252 eV per atom; energy of formation from the pure elements = 2423 meV/atom; symmetry = P4/mmm (123)
1.0
5.013 0.000 0.000
0.000 5.013 0.000
0.000 0.000 4.704
Fe Hg Pb W
1 1 1 2
Direct
0.000 0.000 0.000
0.000 0.000 0.500
0.500 0.500 0.000
0.000 0.500 0.500
0.500 0.000 0.500


# 2
Nd2Sn2Pd15, optimized geometry, DFT PBE-GGA; magnetic moment = 0.0 μB/f.u.; VASP energy = -5.432 eV per atom; energy of formation from the pure elements = -409 meV/atom; symmetry = R-3m (166)
1.0
4.633 2.675 4.625
-4.633 2.675 4.625
0.000 -5.350 4.625
Nd Sn Pd
2 2 15
Direct
0.147 0.147 0.147
0.853 0.853 0.853
0.394 0.394 0.394
0.606 0.606 0.606
0.000 0.500 0.500
0.152 0.152 0.659
0.152 0.659 0.152
0.192 0.500 0.808
0.192 0.808 0.500
0.341 0.848 0.848
0.500 0.000 0.500
0.500 0.192 0.808
0.500 0.500 0.000
0.500 0.808 0.192
0.659 0.152 0.152
0.808 0.192 0.500
0.808 0.500 0.192
0.848 0.341 0.848
0.848 0.848 0.341


# 3
ReGe2OsI, optimized geometry, DFT PBE-GGA; magnetic moment = 3.7 μB/f.u.; VASP energy = -4.174 eV per atom; energy relative to the elements, uncorrected = 2719 meV per atom; symmetry = P4/mmm (123)
1.0
5.271 0.000 0.000
0.000 5.271 0.000
0.000 0.000 4.836
Re Ge Os I
1 2 1 1
Direct
0.000 0.000 0.000
0.000 0.500 0.500
0.500 0.000 0.500
0.500 0.500 0.000
0.500 0.500 0.500


# 4
NaV3Cr, optimized geometry, DFT PBE-GGA; magnetic moment = 1.9 μB/f.u.; VASP energy = -5.339 eV per atom; energy of formation from the pure elements = 2320 meV/atom; distance to the lowest polymorph of the same formula = 1259 meV per atom; symmetry = Pm-3m (221)
1.0
4.454 0.000 0.000
0.000 4.454 0.000
0.000 0.000 4.454
Na V Cr
1 3 1
Direct
0.000 0.000 0.000
0.000 0.000 0.500
0.000 0.500 0.000
0.500 0.000 0.000
0.500 0.500 0.500


# 5
Y2AlCd3, optimized geometry, DFT PBE-GGA; magnetic moment = 0.2 μB/f.u.; VASP energy = -3.595 eV per atom; energy of formation from the pure elements = -359 meV/atom; distance to the lowest polymorph of the same formula = 7 meV per atom; symmetry = Fmmm (69)
1.0
0.000 4.833 8.385
3.540 0.000 8.385
3.540 4.833 0.000
Y Al Cd
4 2 6
Direct
0.248 0.752 0.752
0.250 0.250 0.250
0.750 0.750 0.750
0.752 0.248 0.248
0.334 0.334 0.666
0.666 0.666 0.334
0.170 0.170 0.830
0.170 0.660 0.340
0.340 0.830 0.170
0.660 0.170 0.830
0.830 0.340 0.660
0.830 0.830 0.170


# 6
Ba3CaBr, optimized geometry, DFT PBE-GGA; magnetic moment = 0.0 μB/f.u.; VASP energy = -2.404 eV per atom; energy relative to the elements, uncorrected = -515 meV per atom; distance to the lowest polymorph of the same formula = 0 meV per atom; symmetry = Pm-3m (221)
1.0
6.454 0.000 0.000
0.000 6.454 0.000
0.000 0.000 6.454
Ba Ca Br
3 1 1
Direct
0.000 0.000 0.500
0.000 0.500 0.000
0.500 0.000 0.000
0.500 0.500 0.500
0.000 0.000 0.000